# 1
## Pr4CI4Cl (GGA-PBE)

Data for a relaxed Pr4CI4Cl crystal.

total energy: -4.846 eV/atom

```
data_Pr4CI4Cl
_chemical_formula_sum 'Pr8 C2 I8 Cl2'
_symmetry_space_group_name_H-M 'C 1 2/m 1'
_symmetry_Int_Tables_number 12
_symmetry_space_group_name_Hall '-C 2y'
_cell_length_a 19.553
_cell_length_b 4.058
_cell_length_c 8.552
_cell_angle_alpha 90.00
_cell_angle_beta 102.16
_cell_angle_gamma 90.00
loop_
_atom_site_label
_atom_site_type_symbol
_atom_site_fract_x
_atom_site_fract_y
_atom_site_fract_z
Pr1 Pr 0.001 0.000 0.291
Pr2 Pr 0.134 0.500 0.568
C1 C 0.000 0.500 0.500
I1 I 0.164 0.000 0.857
I2 I 0.171 0.000 0.310
Cl1 Cl 0.000 0.500 0.000
```

=====

# 2
## Lu4Nb2Au3C3 (GGA-PBE)

Data for a relaxed Lu4Nb2Au3C3 crystal.

total energy: -6.856 eV/atom

```
data_Lu4Nb2Au3C3
_chemical_formula_sum 'Lu16 Nb8 Au12 C12'
_symmetry_space_group_name_H-M 'C 1 2/c 1'
_symmetry_Int_Tables_number 15
_symmetry_space_group_name_Hall '-C 2yc'
_cell_length_a 10.206
_cell_length_b 5.926
_cell_length_c 14.408
_cell_angle_alpha 90.00
_cell_angle_beta 103.30
_cell_angle_gamma 90.00
loop_
_atom_site_label
_atom_site_type_symbol
_atom_site_fract_x
_atom_site_fract_y
_atom_site_fract_z
Lu1 Lu 0.116 0.071 0.102
Lu2 Lu 0.212 0.087 0.398
Nb1 Nb 0.065 0.409 0.926
Au1 Au 0.000 0.140 0.750
Au2 Au 0.143 0.435 0.250
C1 C 0.076 0.273 0.500
C2 C 0.250 0.250 0.000
```

=====

# 3
## PrGdEr (GGA-PBE)

Data for a relaxed PrGdEr crystal.

total energy: -3.966 eV/atom

```
data_PrGdEr
_chemical_formula_sum 'Pr4 Gd4 Er4'
_symmetry_space_group_name_H-M 'F -4 3 m'
_symmetry_Int_Tables_number 216
_symmetry_space_group_name_Hall 'F -4 2 3'
_cell_length_a 7.740
_cell_length_b 7.740
_cell_length_c 7.740
_cell_angle_alpha 90.00
_cell_angle_beta 90.00
_cell_angle_gamma 90.00
loop_
_atom_site_label
_atom_site_type_symbol
_atom_site_fract_x
_atom_site_fract_y
_atom_site_fract_z
Pr1 Pr 0.000 0.000 0.000
Gd1 Gd 0.000 0.000 0.500
Er1 Er 0.250 0.250 0.750
```